This record from Alexandria via LeMat-Bulk describes a relaxed MoPbNF2 crystal. The functional is PBE with a Hubbard U.

Unit cell a=4.514 b=4.514 c=4.498 alpha=90.00 beta=90.00 gamma=90.00
Sites, in units of the cell vectors:
1 Pb 0.000 0.000 0.000
2 Mo 0.500 0.500 0.500
3 N 0.000 0.000 0.500
4 F 0.000 0.500 0.000
5 F 0.500 0.000 0.000

Calculated values
* total DFT energy (no corrections): -4.738 eV per atom
* theoretical density: 6.44 Mg/m³
* symmetry: P4/mmm, No. 123
* excess energy over the best structure of this formula in the dataset: 0.752 eV per atom
* Fermi-level density of states: 1.002 states/eV/f.u.